## Nd2Be3Pt12Rh (PBE)

Data for crystalline Nd2Be3Pt12Rh at its relaxed geometry.

abc: 7.686 7.686 7.686
angles: 62.10 62.10 62.10
Sites, in units of the cell vectors:
Nd: 0.110 0.110 0.110
Nd: 0.890 0.890 0.890
Be: 0.000 0.500 0.500
Be: 0.500 0.000 0.500
Be: 0.500 0.500 0.000
Pt: 0.109 0.629 0.629
Pt: 0.148 0.148 0.604
Pt: 0.148 0.604 0.148
Pt: 0.371 0.371 0.891
Pt: 0.371 0.891 0.371
Pt: 0.396 0.852 0.852
Pt: 0.604 0.148 0.148
Pt: 0.629 0.109 0.629
Pt: 0.629 0.629 0.109
Pt: 0.852 0.396 0.852
Pt: 0.852 0.852 0.396
Pt: 0.891 0.371 0.371
Rh: 0.500 0.500 0.500

* energy of formation: -291 meV/atom
* DOS(E_F): 13.16 states/eV per cell